# NdCuNi2

A geometry-optimized NdCuNi2 structure (PBE-GGA, Alexandria).

Results
theoretical density: 7.6 Mg/m³
formation energy from the elements: -0.285 eV/f.u.
calculated total energy: -82.85 eV per cell

The structure in POSCAR format:
```
NdCuNi2
1.0
5.2276 0.0000 0.0000
0.0000 4.7340 0.0000
0.0000 0.0000 11.5014
Nd Cu Ni
4 4 8
Cartesian
1.3069 0.0000 1.2419 Nd
1.3069 2.3670 4.4664 Nd
3.9207 0.0000 10.2595 Nd
3.9207 2.3670 7.0350 Nd
1.3069 0.0000 9.5272 Cu
1.3069 2.3670 9.4889 Cu
3.9207 0.0000 1.9743 Cu
3.9207 2.3670 2.0125 Cu
0.0000 0.0000 5.7507 Ni
0.0000 2.3670 0.0000 Ni
1.3069 1.1770 7.3919 Ni
1.3069 3.5570 7.3919 Ni
2.6138 0.0000 5.7507 Ni
2.6138 2.3670 0.0000 Ni
3.9207 1.1770 4.1095 Ni
3.9207 3.5570 4.1095 Ni
```

---

# Nd2Cu15Ni2

A geometry-optimized Nd2Cu15Ni2 structure (PBE-GGA, Alexandria).

Results
theoretical density: 8.5 Mg/m³
formation energy from the elements: -1.965 eV/f.u.
calculated total energy: -84.51 eV per cell

The structure in POSCAR format:
```
Nd2Cu15Ni2
1.0
4.2976 2.4812 4.1695
-4.2976 2.4812 4.1695
0.0000 -4.9625 4.1695
Nd Cu Ni
2 15 2
Cartesian
0.0000 0.0000 2.0558 Nd
0.0000 0.0000 10.4527 Nd
-2.1488 -1.2406 4.1695 Cu
0.0000 -2.4650 4.0144 Cu
-2.1348 1.2325 4.0144 Cu
-1.2405 -2.1486 6.2542 Cu
-2.4810 0.0000 6.2542 Cu
-2.1348 -1.2325 8.4941 Cu
-2.1488 1.2406 8.3390 Cu
1.2405 -2.1486 6.2542 Cu
0.0000 2.4812 4.1695 Cu
-1.2405 2.1486 6.2542 Cu
2.1348 1.2325 4.0143 Cu
2.4810 0.0000 6.2542 Cu
1.2405 2.1486 6.2542 Cu
2.1348 -1.2325 8.4941 Cu
0.0000 2.4650 8.4941 Cu
0.0000 0.0000 5.0423 Ni
0.0000 0.0000 7.4662 Ni
```

---

# NdCuNi4

A geometry-optimized NdCuNi4 structure (PBE-GGA, Alexandria).

Results
theoretical density: 8.7 Mg/m³
formation energy from the elements: -1.131 eV/f.u.
relative energy among the computed polymorphs: 7.07 kJ/mol of atoms
calculated total energy: -33.12 eV per cell

The structure in POSCAR format:
```
NdCuNi4
1.0
0.0000 3.4869 3.4869
3.4869 0.0000 3.4869
3.4869 3.4869 0.0000
Nd Cu Ni
1 1 4
Cartesian
0.0000 0.0000 0.0000 Nd
1.7435 1.7435 1.7435 Cu
4.3498 2.6240 2.6240 Ni
2.6240 4.3498 2.6240 Ni
2.6240 2.6240 4.3498 Ni
4.3498 4.3498 4.3498 Ni
```

---

# NdCuNi2

A geometry-optimized NdCuNi2 structure (PBE-GGA, Alexandria).

Results
theoretical density: 7.8 Mg/m³
formation energy from the elements: -0.969 eV/f.u.
calculated total energy: -21.40 eV per cell

The structure in POSCAR format:
```
NdCuNi2
1.0
2.0641 1.1917 4.6631
-2.0641 1.1917 4.6631
0.0000 -2.3835 4.6631
Nd Cu Ni
1 1 2
Cartesian
0.0000 0.0000 0.0000 Nd
0.0000 0.0000 6.9947 Cu
0.0000 0.0000 2.7520 Ni
0.0000 0.0000 11.2373 Ni
```

---

# NdCu2Ni

A geometry-optimized NdCu2Ni structure (PBE-GGA, Alexandria).

Results
theoretical density: 8.1 Mg/m³
formation energy from the elements: -0.853 eV/f.u.
calculated total energy: -156.75 eV per cell

The structure in POSCAR format:
```
NdCu2Ni
1.0
14.8226 0.0000 0.0000
0.0000 6.9448 0.0000
0.0000 0.0000 5.2301
Nd Cu Ni
8 16 8
Cartesian
1.5619 1.7362 1.2215 Nd
2.1040 5.2086 2.4130 Nd
5.3073 1.7362 5.0280 Nd
5.8493 5.2086 3.8366 Nd
8.9732 1.7362 1.3935 Nd
9.5153 5.2086 0.2020 Nd
12.7186 1.7362 2.8171 Nd
13.2606 5.2086 4.0085 Nd
0.5937 0.4372 3.9342 Cu
0.5937 3.0352 3.9342 Cu
3.1200 3.8870 4.8927 Cu
3.1200 6.5302 4.8927 Cu
4.2913 0.4146 2.2777 Cu
4.2913 3.0578 2.2777 Cu
6.8176 3.9096 1.3192 Cu
6.8176 6.5076 1.3192 Cu
8.0050 0.4372 3.9109 Cu
8.0050 3.0352 3.9109 Cu
10.5313 3.8870 2.9524 Cu
10.5313 6.5302 2.9524 Cu
11.7026 0.4146 0.3374 Cu
11.7026 3.0578 0.3374 Cu
14.2289 3.9096 1.2959 Cu
14.2289 6.5076 1.2959 Cu
1.0329 5.2086 5.1357 Ni
2.7503 1.7362 3.6897 Ni
4.6610 5.2086 1.0747 Ni
6.3784 1.7362 2.5207 Ni
8.4442 5.2086 2.7094 Ni
10.1615 1.7362 4.1554 Ni
12.0723 5.2086 1.5403 Ni
13.7897 1.7362 0.0944 Ni
```

---

# NdCu9Ni2

A geometry-optimized NdCu9Ni2 structure (PBE-GGA, Alexandria).

Results
theoretical density: 8.5 Mg/m³
formation energy from the elements: 1.210 eV/f.u.
calculated total energy: -51.99 eV per cell

The structure in POSCAR format:
```
NdCu9Ni2
1.0
8.2889 0.0000 0.0000
-4.1444 7.1784 0.0000
0.0000 0.0000 2.7212
Nd Cu Ni
1 9 2
Cartesian
0.0000 0.0000 0.0000 Nd
-2.0722 3.5892 0.0000 Cu
0.0000 2.7188 1.3606 Cu
-1.7898 5.8189 1.3606 Cu
2.3546 1.3594 1.3606 Cu
4.1444 0.0000 0.0000 Cu
2.0722 3.5892 0.0000 Cu
1.7898 5.8189 1.3606 Cu
5.9343 1.3594 1.3606 Cu
4.1444 4.4595 1.3606 Cu
0.0000 4.7856 0.0000 Ni
4.1444 2.3928 0.0000 Ni
```

---

# Nd4Cu5Ni2

A geometry-optimized Nd4Cu5Ni2 structure (PBE-GGA, Alexandria).

Results
theoretical density: 7.5 Mg/m³
formation energy from the elements: -2.121 eV/f.u.
calculated total energy: -53.24 eV per cell

The structure in POSCAR format:
```
Nd4Cu5Ni2
1.0
6.9833 0.0000 0.0000
0.0000 4.0077 0.0000
-0.1813 0.0000 7.9973
Nd Cu Ni
4 5 2
Cartesian
1.5585 0.0000 1.1552 Nd
1.6227 0.0000 4.9843 Nd
5.1793 0.0000 3.0130 Nd
5.2435 0.0000 6.8421 Nd
0.7451 2.0039 7.0914 Cu
2.8767 2.0039 2.8816 Cu
3.4917 2.0039 0.0000 Cu
3.9253 2.0039 5.1157 Cu
6.0569 2.0039 0.9059 Cu
0.4231 2.0039 2.9422 Ni
6.3789 2.0039 5.0551 Ni
```

---

# NdCu2Ni4

A geometry-optimized NdCu2Ni4 structure (PBE-GGA, Alexandria).

Results
theoretical density: 6.8 Mg/m³
formation energy from the elements: 2.654 eV/f.u.
relative energy among the computed polymorphs: 47.55 kJ/mol of atoms
calculated total energy: -33.43 eV per cell

The structure in POSCAR format:
```
NdCu2Ni4
1.0
-3.4706 3.4706 2.5832
3.4706 -3.4706 2.5832
3.4706 3.4706 -2.5832
Nd Cu Ni
1 2 4
Cartesian
0.0000 0.0000 0.0000 Nd
3.4706 0.0000 1.2916 Cu
0.0000 3.4706 1.2916 Cu
3.4706 1.9108 0.0000 Ni
1.9108 3.4706 0.0000 Ni
1.5598 0.0000 2.5832 Ni
0.0000 1.5598 2.5832 Ni
```